Version P
First-principles (PBE) data for crystalline KVIrPt at its relaxed geometry, as listed in Alexandria.

a = 3.030 Å, b = 4.747 Å, c = 6.788 Å
α = 98.80°, β = 90.13°, γ = 108.53°
Fractional positions:
K 0.000 0.000 0.000
V 0.806 0.606 0.419
Ir 0.505 0.004 0.470
Pt 0.232 0.454 0.681

Version Q
First-principles (PBE) data for crystalline KVIrPt at its relaxed geometry, as listed in Alexandria.

a = 2.835 Å, b = 2.835 Å, c = 29.670 Å
α = 90.00°, β = 90.00°, γ = 120.00°
Fractional positions:
K 0.000 0.000 0.000
K 0.333 0.667 0.667
K 0.667 0.333 0.333
V 0.000 0.000 0.499
V 0.333 0.667 0.166
V 0.667 0.333 0.833
Ir 0.000 0.000 0.764
Ir 0.333 0.667 0.431
Ir 0.667 0.333 0.098
Pt 0.000 0.000 0.237
Pt 0.333 0.667 0.903
Pt 0.667 0.333 0.570

Version R
First-principles (PBE) data for crystalline KVIrPt at its relaxed geometry, as listed in Alexandria.

a = 2.970 Å, b = 2.970 Å, c = 8.459 Å
α = 90.00°, β = 90.00°, γ = 90.00°
Fractional positions:
K 0.000 0.000 0.000
V 0.000 0.000 0.490
Ir 0.500 0.500 0.323
Pt 0.500 0.500 0.686

Version S
First-principles (PBE) data for crystalline KVIrPt at its relaxed geometry, as listed in Alexandria.

a = 2.764 Å, b = 3.906 Å, c = 7.758 Å
α = 90.00°, β = 98.64°, γ = 90.00°
Fractional positions:
K 0.000 0.000 0.000
V 0.265 0.500 0.372
Ir 0.747 0.000 0.488
Pt 0.366 0.500 0.694

version R (20.5 kJ/mol of atoms below the next structure)

Version P
First-principles (PBE) data for crystalline KReIr2 at its relaxed geometry, as listed in Alexandria.

a = 8.597 Å, b = 2.731 Å, c = 7.354 Å
α = 90.00°, β = 94.47°, γ = 90.00°
Fractional positions:
K 0.000 0.000 0.000
K 0.500 0.500 0.000
Re 0.000 0.500 0.500
Re 0.500 0.000 0.500
Ir 0.236 0.000 0.653
Ir 0.264 0.500 0.347
Ir 0.736 0.500 0.653
Ir 0.764 0.000 0.347

Version Q
First-principles (PBE) data for crystalline KReIr2 at its relaxed geometry, as listed in Alexandria.

a = 2.859 Å, b = 4.731 Å, c = 10.182 Å
α = 90.00°, β = 90.00°, γ = 90.00°
Fractional positions:
K 0.000 0.000 0.000
K 0.500 0.500 0.000
Re 0.000 0.000 0.500
Re 0.500 0.500 0.500
Ir 0.000 0.500 0.281
Ir 0.000 0.500 0.719
Ir 0.500 0.000 0.281
Ir 0.500 0.000 0.719

Version R
First-principles (PBE) data for crystalline KReIr2 at its relaxed geometry, as listed in Alexandria.

a = 5.028 Å, b = 5.028 Å, c = 2.709 Å
α = 90.00°, β = 90.00°, γ = 90.00°
Fractional positions:
K 0.000 0.000 0.000
Re 0.500 0.500 0.000
Ir 0.000 0.500 0.500
Ir 0.500 0.000 0.500

Version S
First-principles (PBE) data for crystalline KReIr2 at its relaxed geometry, as listed in Alexandria.

a = 6.080 Å, b = 8.147 Å, c = 2.713 Å
α = 90.00°, β = 90.00°, γ = 90.00°
Fractional positions:
K 0.000 0.000 0.000
K 0.500 0.500 0.000
Re 0.000 0.500 0.000
Re 0.500 0.000 0.000
Ir 0.250 0.250 0.500
Ir 0.250 0.750 0.500
Ir 0.750 0.250 0.500
Ir 0.750 0.750 0.500

version P (1.6 kJ/mol of atoms below the next structure)

Version P
First-principles (PBE) data for crystalline KReIr2 at its relaxed geometry, as listed in Alexandria.

a = 4.119 Å, b = 4.119 Å, c = 7.928 Å
α = 90.00°, β = 90.00°, γ = 90.00°
Fractional positions:
K 0.000 0.000 0.000
K 0.500 0.500 0.500
Re 0.000 0.500 0.750
Re 0.500 0.000 0.250
Ir 0.000 0.000 0.500
Ir 0.000 0.500 0.250
Ir 0.500 0.000 0.750
Ir 0.500 0.500 0.000

Version Q
First-principles (PBE) data for crystalline KReIr2 at its relaxed geometry, as listed in Alexandria.

a = 2.826 Å, b = 2.826 Å, c = 30.199 Å
α = 90.00°, β = 90.00°, γ = 120.00°
Fractional positions:
K 0.000 0.000 0.000
K 0.333 0.667 0.667
K 0.667 0.333 0.333
Re 0.000 0.000 0.500
Re 0.333 0.667 0.167
Re 0.667 0.333 0.833
Ir 0.000 0.000 0.237
Ir 0.000 0.000 0.763
Ir 0.333 0.667 0.430
Ir 0.333 0.667 0.903
Ir 0.667 0.333 0.097
Ir 0.667 0.333 0.570

version Q (93.4 kJ/mol of atoms below the next structure)

Version P
First-principles (PBE) data for crystalline KReIr2 at its relaxed geometry, as listed in Alexandria.

a = 2.682 Å, b = 4.004 Å, c = 7.790 Å
α = 90.00°, β = 90.00°, γ = 90.00°
Fractional positions:
K 0.000 0.000 0.000
Re 0.500 0.500 0.365
Ir 0.000 0.000 0.499
Ir 0.500 0.500 0.687

Version Q
First-principles (PBE) data for crystalline KReIr2 at its relaxed geometry, as listed in Alexandria.

a = 2.743 Å, b = 2.743 Å, c = 9.659 Å
α = 90.00°, β = 90.00°, γ = 90.00°
Fractional positions:
K 0.000 0.000 0.000
Re 0.500 0.500 0.321
Ir 0.000 0.000 0.516
Ir 0.500 0.500 0.718

version P (3.4 kJ/mol of atoms below the next structure)

Version P
First-principles (PBE) data for crystalline KRe2Ir at its relaxed geometry, as listed in Alexandria.

a = 2.798 Å, b = 4.850 Å, c = 5.018 Å
α = 90.00°, β = 90.00°, γ = 90.00°
Fractional positions:
K 0.000 0.000 0.000
Re 0.000 0.500 0.500
Re 0.500 0.000 0.500
Ir 0.500 0.500 0.000

Version Q
First-principles (PBE) data for crystalline KRe2Ir at its relaxed geometry, as listed in Alexandria.

a = 2.721 Å, b = 3.861 Å, c = 8.033 Å
α = 90.00°, β = 92.13°, γ = 90.00°
Fractional positions:
K 0.000 0.000 0.000
Re 0.096 0.000 0.487
Re 0.508 0.500 0.645
Ir 0.537 0.500 0.322

Version R
First-principles (PBE) data for crystalline KRe2Ir at its relaxed geometry, as listed in Alexandria.

a = 2.892 Å, b = 4.676 Å, c = 10.352 Å
α = 90.00°, β = 90.00°, γ = 90.00°
Fractional positions:
K 0.000 0.000 0.000
K 0.500 0.500 0.000
Re 0.000 0.000 0.505
Re 0.000 0.500 0.293
Re 0.500 0.000 0.293
Re 0.500 0.500 0.505
Ir 0.000 0.500 0.725
Ir 0.500 0.000 0.725

version Q (3.5 kJ/mol of atoms below the next structure)

Version P
First-principles (PBE) data for crystalline KReIr at its relaxed geometry, as listed in Alexandria.

a = 6.472 Å, b = 6.472 Å, c = 6.472 Å
α = 90.00°, β = 90.00°, γ = 90.00°
Fractional positions:
K 0.000 0.000 0.000
K 0.000 0.500 0.500
K 0.500 0.000 0.500
K 0.500 0.500 0.000
Re 0.250 0.250 0.250
Re 0.250 0.750 0.750
Re 0.750 0.250 0.750
Re 0.750 0.750 0.250
Ir 0.250 0.250 0.750
Ir 0.250 0.750 0.250
Ir 0.750 0.250 0.250
Ir 0.750 0.750 0.750

Version Q
First-principles (PBE) data for crystalline KReIr at its relaxed geometry, as listed in Alexandria.

a = 2.815 Å, b = 2.815 Å, c = 8.140 Å
α = 90.00°, β = 90.00°, γ = 120.00°
Fractional positions:
K 0.000 0.000 0.000
Re 0.667 0.333 0.380
Ir 0.333 0.667 0.637

Version R
First-principles (PBE) data for crystalline KReIr at its relaxed geometry, as listed in Alexandria.

a = 2.731 Å, b = 4.013 Å, c = 12.456 Å
α = 90.00°, β = 90.00°, γ = 90.00°
Fractional positions:
K 0.000 0.000 0.000
K 0.500 0.500 0.500
Re 0.000 0.000 0.720
Re 0.500 0.500 0.220
Ir 0.000 0.000 0.287
Ir 0.500 0.500 0.787

Version S
First-principles (PBE) data for crystalline KReIr at its relaxed geometry, as listed in Alexandria.

a = 2.931 Å, b = 2.931 Å, c = 14.759 Å
α = 90.00°, β = 90.00°, γ = 90.00°
Fractional positions:
K 0.000 0.000 0.000
K 0.500 0.500 0.500
Re 0.000 0.000 0.288
Re 0.500 0.500 0.788
Ir 0.000 0.000 0.687
Ir 0.500 0.500 0.187

version R (15.5 kJ/mol of atoms below the next structure)